No. 1
The following is a DFT calculation (PBE) of crystalline Pr2Cd2O5 at its relaxed geometry.

a = 4.2024 Å, b = 4.2024 Å, c = 9.0684 Å
α = 90.00°, β = 90.00°, γ = 90.00°
Space group P4/mmm (No. 123)
Inequivalent atoms, fractional coordinates:
Pr 0.0000 0.0000 0.2429
Cd 0.5000 0.5000 0.0000
Cd 0.5000 0.5000 0.5000
O 0.0000 0.0000 0.5000
O 0.0000 0.5000 0.1465

Calculated values
The energy above the most stable polymorph in this dataset comes out at 44.1 meV per atom. The total energy is -0.423 Ry/atom.



No. 2
The following is a DFT calculation (PBE) of crystalline UCo4B4 at its relaxed geometry.

a = 4.9976 Å, b = 4.9976 Å, c = 6.9729 Å
α = 90.00°, β = 90.00°, γ = 90.00°
Space group P4_2/nmc (No. 137, origin choice 2)
Inequivalent atoms, fractional coordinates:
U 0.2500 0.7500 0.2500
Co 0.0036 0.2500 0.1091
B 0.0760 0.2500 0.4052

Calculated values
The total energy is -0.573 Ry/atom.